(1)
NaMg2Ga2 | GGA-PBE | relaxed

Computed properties:
Uncorrected energy = -21.5 eV/cell
Calculated density = 2.9 g cm⁻³

a = 4.199 Å, b = 4.994 Å, c = 11.575 Å
α = 97.97°, β = 90.00°, γ = 90.00°
Sites, in units of the cell vectors:
Mg: 0.750 0.155 0.110
Mg: 0.250 0.845 0.890
Mg: 0.250 0.254 0.516
Mg: 0.750 0.746 0.484
Na: 0.250 0.694 0.248
Na: 0.750 0.306 0.752
Ga: 0.250 0.797 0.650
Ga: 0.250 0.365 0.985
Ga: 0.750 0.635 0.015
Ga: 0.750 0.203 0.350

=====

(2)
NaNdMgGa | GGA-PBE | relaxed

Computed properties:
Uncorrected energy = -11.3 eV/cell
Calculated density = 4.5 g cm⁻³

a = 5.130 Å, b = 5.130 Å, c = 5.130 Å
α = 60.00°, β = 60.00°, γ = 60.00°
Sites, in units of the cell vectors:
Nd: 0.000 0.000 0.000
Mg: 0.500 0.500 0.500
Ga: 0.250 0.250 0.250
Na: 0.750 0.750 0.750

=====

(3)
Na2MgGaO4 | GGA-PBE | relaxed

Computed properties:
Raw formation energy = -153.0 kJ per mole of atoms
Uncorrected energy = -39.8 eV/cell
Calculated density = 3.5 g cm⁻³

a = 5.534 Å, b = 5.028 Å, c = 5.028 Å
α = 72.37°, β = 56.61°, γ = 56.61°
Each line ends with the local moment (μB).
Sites, in units of the cell vectors:
O: 0.430 0.674 0.000  0.22
O: 0.896 0.000 0.674  0.22
O: 0.104 0.326 0.000  0.22
O: 0.570 0.000 0.326  0.22
Na: 0.500 0.500 0.500  0.00
Na: 0.000 0.500 0.500  0.00
Ga: 0.500 0.000 0.000  0.00
Mg: 0.000 0.000 0.000  0.00

=====

(4)
Na3MgGa2O6 | GGA-PBE | relaxed

Computed properties:
Raw formation energy = -171.6 kJ per mole of atoms
Uncorrected energy = -62.7 eV/cell
Calculated density = 4.2 g cm⁻³

a = 5.280 Å, b = 5.280 Å, c = 5.696 Å
α = 98.91°, β = 98.91°, γ = 120.01°
Each line ends with the local moment (μB).
Sites, in units of the cell vectors:
Na: 0.835 0.165 0.500  0.00
Na: 0.500 0.500 0.500  0.00
Na: 0.165 0.835 0.500  0.00
Mg: 0.000 0.000 0.000  0.00
O: 0.722 0.722 0.201  0.15
O: 0.588 0.933 0.800  0.16
O: 0.067 0.412 0.200  0.16
O: 0.933 0.588 0.800  0.16
O: 0.412 0.067 0.200  0.16
O: 0.278 0.278 0.799  0.15
Ga: 0.334 0.666 0.000  0.00
Ga: 0.666 0.334 0.000  0.00

=====

(5)
NaMgGaO3 | GGA-PBE | relaxed

Computed properties:
Raw formation energy = -192.8 kJ per mole of atoms
Uncorrected energy = -65.6 eV/cell
Calculated density = 2.9 g cm⁻³

a = 2.997 Å, b = 5.866 Å, c = 11.167 Å
α = 90.00°, β = 90.00°, γ = 104.80°
Sites, in units of the cell vectors:
Ga: 0.581 0.162 0.750
Ga: 0.419 0.838 0.250
Mg: 0.000 0.000 0.500
Mg: 0.000 0.000 0.000
O: 0.478 0.956 0.619
O: 0.522 0.044 0.119
O: 0.478 0.956 0.881
O: 0.180 0.360 0.750
O: 0.820 0.640 0.250
O: 0.522 0.044 0.381
Na: 0.154 0.307 0.250
Na: 0.846 0.693 0.750

=====

(6)
NaMgGa2O4 | GGA-PBE | relaxed

Computed properties:
Raw formation energy = -175.4 kJ per mole of atoms
Uncorrected energy = -43.3 eV/cell
Calculated density = 3.9 g cm⁻³

a = 5.833 Å, b = 5.833 Å, c = 5.833 Å
α = 132.49°, β = 132.49°, γ = 69.46°
Sites, in units of the cell vectors:
O: 0.084 0.084 0.451
O: 0.367 0.916 0.000
O: 0.633 0.633 0.549
O: 0.916 0.367 0.000
Na: 0.500 0.500 0.000
Ga: 0.750 0.250 0.500
Ga: 0.250 0.750 0.500
Mg: 0.000 0.000 0.000

=====

(7)
NaMgGa2Os | GGA-PBE | relaxed

Computed properties:
Uncorrected energy = -20.5 eV/cell
Calculated density = 5.3 g cm⁻³

a = 4.837 Å, b = 4.837 Å, c = 5.050 Å
α = 90.00°, β = 90.00°, γ = 90.00°
Sites, in units of the cell vectors:
Na: 0.500 0.500 0.500
Ga: 0.000 0.500 0.000
Ga: 0.500 0.000 0.000
Mg: 0.000 0.000 0.500
Os: 0.000 0.000 0.000

=====

(8)
NaMgGaP2 | GGA-PBE | relaxed

Computed properties:
Uncorrected energy = -14.5 eV/cell
Calculated density = 2.4 g cm⁻³

a = 4.837 Å, b = 5.267 Å, c = 4.837 Å
α = 90.00°, β = 90.00°, γ = 90.00°
Sites, in units of the cell vectors:
Na: 0.000 0.500 0.000
P: 0.000 0.000 0.500
P: 0.500 0.000 0.000
Mg: 0.000 0.000 0.000
Ga: 0.500 0.500 0.500

=====

Question: What is the uncorrected energy in the first record?
Answer: -21.5 eV/cell